Record 1
Entry from OQMD via LeMat-Bulk: a relaxed structure of HoPuTl (PBE).

Geometry as POSCAR:
```
HoPuTl
1.0
0.000 3.686 3.686
3.686 0.000 3.686
3.686 3.686 0.000
Ho Pu Tl
1 1 1
Direct
0.000 0.000 0.000
0.500 0.500 0.500
0.250 0.250 0.250
```

E_tot, eV/f.u.: -20.5

=====

Record 2
Entry from OQMD via LeMat-Bulk: a relaxed structure of ZrNbSiNi (PBE).

Geometry as POSCAR:
```
ZrNbSiNi
1.0
0.000 3.169 3.169
3.169 0.000 3.169
3.169 3.169 0.000
Zr Nb Si Ni
1 1 1 1
Direct
0.000 0.000 0.000
0.250 0.250 0.250
0.500 0.500 0.500
0.750 0.750 0.750
```

E_tot, eV/f.u.: -29.7

=====

Record 3
Entry from OQMD via LeMat-Bulk: a relaxed structure of LuSbNO (PBE).

Geometry as POSCAR:
```
LuSbNO
1.0
3.686 0.000 0.000
0.000 6.448 0.000
0.000 0.000 6.257
Lu Sb N O
2 2 2 2
Direct
0.000 0.184 0.000
0.000 0.816 0.500
0.500 0.335 0.584
0.500 0.665 0.084
0.500 0.373 0.934
0.500 0.627 0.434
0.000 0.063 0.298
0.000 0.937 0.798
```

E_tot, eV/f.u.: -27.2

=====

Record 4
Entry from OQMD via LeMat-Bulk: a relaxed structure of HgPtNO (PBE).

Geometry as POSCAR:
```
HgPtNO
1.0
4.356 0.000 0.000
0.000 4.356 0.000
0.000 0.000 6.374
Hg Pt N O
2 2 2 2
Direct
0.250 0.750 0.000
0.750 0.250 0.000
0.250 0.250 0.459
0.750 0.750 0.541
0.250 0.250 0.154
0.750 0.750 0.846
0.250 0.750 0.500
0.750 0.250 0.500
```

E_tot, eV/f.u.: -16.3

=====

Record 5
Entry from OQMD via LeMat-Bulk: a relaxed structure of NaYHfPd (PBE).

Geometry as POSCAR:
```
NaYHfPd
1.0
0.000 3.517 3.517
3.517 0.000 3.517
3.517 3.517 0.000
Na Y Hf Pd
1 1 1 1
Direct
0.000 0.000 0.000
0.750 0.750 0.750
0.250 0.250 0.250
0.500 0.500 0.500
```

E_tot, eV/f.u.: -22.6

=====

Record 6
Entry from OQMD via LeMat-Bulk: a relaxed structure of ReBi2 (PBE).

Geometry as POSCAR:
```
ReBi2
1.0
-3.605 3.605 2.748
3.605 -3.605 2.748
3.605 3.605 -2.748
Re Bi
2 4
Direct
0.250 0.250 0.000
0.750 0.750 0.000
0.159 0.659 0.819
0.341 0.159 0.500
0.659 0.841 0.500
0.841 0.341 0.181
```

E_tot, eV/f.u.: -18.6

=====

Record 7
Entry from OQMD via LeMat-Bulk: a relaxed structure of AlNi (PBE).

Geometry as POSCAR:
```
AlNi
1.0
2.866 0.000 0.000
0.000 2.866 0.000
0.000 0.000 2.926
Al Ni
1 1
Direct
0.000 0.000 0.000
0.500 0.500 0.500
```

E_tot, eV/f.u.: -10.6

=====

Record 8
Entry from OQMD via LeMat-Bulk: a relaxed structure of HfAg (PBE).

Geometry as POSCAR:
```
HfAg
1.0
0.000 2.793 2.793
2.793 0.000 2.793
2.793 2.793 0.000
Hf Ag
1 1
Direct
0.000 0.000 0.000
0.500 0.500 0.500
```

E_form, meV/atom: 551